Record 1
The following is a PBE calculation of BeAlBr after structural relaxation, from Alexandria.

The spin magnetization comes out at 0.000 μB per cell. As for the total energy: -2.27 eV per atom. The value obtained for the formation energy from raw total energies is 0.776 eV/atom. Its offset from the most stable computed form is 945 meV per atom.

abc: 4.6014 4.6014 4.6014
angles: 60.00 60.00 60.00
With the nearest neighbours (Å) after each atom.
Positions (direct):
Be  0.2500  0.2500  0.2500  4 Br 2.82, 4 Al 2.82
Al  0.5000  0.5000  0.5000  4 Be 2.82
Br  0.0000  0.0000  0.0000  4 Be 2.82

Record 2
The following is a PBE calculation of Be2AlBr after structural relaxation, from Alexandria.

The spin magnetization comes out at 0.000 μB per cell. As for the total energy: -2.80 eV per atom. The value obtained for the formation energy from raw total energies is 0.421 eV/atom. Its offset from the most stable computed form is 342 meV per atom.

abc: 3.1564 3.1564 7.3034
angles: 90.00 90.00 100.58
With the nearest neighbours (Å) after each atom.
Positions (direct):
Be  0.0000  0.0000  0.0522  2 Be 2.27, 2 Al 2.44, 1 Br 2.47
Be  0.5000  0.5000  0.1935  2 Be 2.27, 1 Al 2.40, 2 Br 2.47
Al  0.5000  0.5000  0.8644  3 Be 2.40-2.44
Br  0.0000  0.0000  0.3899  3 Be 2.47

Record 3
The following is a PBE calculation of Be2AlBr after structural relaxation, from Alexandria.

The spin magnetization comes out at 0.000 μB per cell. As for the total energy: -2.63 eV per atom. The value obtained for the formation energy from raw total energies is 0.587 eV/atom. Its offset from the most stable computed form is 508 meV per atom.

abc: 3.2520 3.2520 7.3625
angles: 90.00 90.00 120.61
With the nearest neighbours (Å) after each atom.
Positions (direct):
Be  0.0000  0.0000  0.9961  2 Al 2.42, 2 Br 2.47
Be  0.0000  0.0000  0.5039  2 Al 2.42, 2 Br 2.47
Br  0.5000  0.5000  0.2500  4 Be 2.47
Al  0.5000  0.5000  0.7500  4 Be 2.42

Record 4
The following is a PBE calculation of Be2AlBr after structural relaxation, from Alexandria.

The spin magnetization comes out at 0.000 μB per cell. As for the total energy: -2.43 eV per atom. The value obtained for the formation energy from raw total energies is 0.787 eV/atom. Its offset from the most stable computed form is 708 meV per atom.

abc: 3.0107 5.4750 4.0643
angles: 90.00 90.00 90.00
With the nearest neighbours (Å) after each atom.
Positions (direct):
Al  0.0000  0.5000  0.5000  4 Be 2.53
Be  0.5000  0.5000  0.0000  4 Al 2.53
Br  0.5000  0.0000  0.5000  4 Be 2.53
Be  0.0000  0.0000  0.0000  4 Br 2.53